Below is a geometry-optimized CdTcHg structure, with properties calculated at the GGA-PBE level.

Cell lengths 6.512, 6.512, 6.512 Å; angles 90.00, 90.00, 90.00 degrees
Space group F-43m (No. 216)
One atom of each set of equivalent atoms:
Cd  0.000  0.000  0.000 x4
Tc  0.250  0.250  0.750 x4
Hg  0.000  0.000  0.500 x4

**E_form**: 244.8 kJ/mol of formula units
**DOS(E_F)**: 8.25 states/eV per cell
**Calculated volume**: 276 Å³ per cell

Below is a geometry-optimized AgSe3 structure, with properties calculated at the GGA-PBE level.

Cell lengths 5.534, 5.534, 5.534 Å; angles 90.00, 90.00, 90.00 degrees
Space group Pm-3n (No. 223)
One atom of each set of equivalent atoms:
Ag  0.000  0.000  0.000 x2
Se  0.000  0.250  0.500 x6

**DOS(E_F)**: 9.39 states/eV per cell
**Calculated volume**: 169 Å³ per cell
**ΔE_f (raw)**: 13.11 kcal/mol of atoms

Below is a geometry-optimized ZrMoAs2Br structure, with properties calculated at the GGA-PBE level.

Cell lengths 4.848, 4.848, 5.130 Å; angles 90.00, 90.00, 90.00 degrees
Space group P4/mmm (No. 123)
One atom of each set of equivalent atoms:
Zr  0.000  0.000  0.000 x1
Mo  0.500  0.500  0.500 x1
As  0.000  0.500  0.500 x2
Br  0.500  0.500  0.000 x1

**DOS(E_F)**: 6.26 states/eV per cell
**Calculated volume**: 121 Å³ per cell
**ΔE_f (raw)**: 12.28 kcal/mol of atoms

Below is a geometry-optimized Sr4LaMo structure, with properties calculated at the GGA-PBE level.

Cell lengths 10.193, 10.193, 10.193 Å; angles 90.00, 90.00, 90.00 degrees
Space group F-43m (No. 216)
One atom of each set of equivalent atoms:
Sr  0.125  0.125  0.125 x16
La  0.250  0.250  0.750 x4
Mo  0.000  0.000  0.500 x4

**E_form**: 591.0 kJ/mol of formula units
**DOS(E_F)**: 39.20 states/eV per cell
**Calculated volume**: 1059 Å³ per cell